Below is an optimized crystal structure of Be2HgRu, with properties calculated at the GGA-PBE level.

```
4
Lattice="4.000 0.000 0.000 0.000 4.000 0.000 0.000 0.000 3.110" Properties=species:S:1:pos:R:3 pbc="T T T"
Ru 0.000 2.000 1.555
Hg 2.000 0.000 1.555
Be 0.000 0.000 0.000
Be 2.000 2.000 0.000
```

M_tot: 0.00 μB per atom
Calculated volume: 12.44 A^3/atom
Energy: -4.188 eV/atom